Run A
Here is an optimized crystal structure of CrGaIO2 from Alexandria. Energies are from PBE+U.

Structure (POSCAR):
```
CrGaIO2
1.0
3.9301 0.0000 0.0000
0.0000 3.9301 0.0000
0.0000 0.0000 6.5019
I Cr O Ga
1 1 2 1
Direct
0.0000 0.0000 0.5000
0.0000 0.0000 0.0000
0.0000 0.5000 0.0000
0.5000 0.0000 0.0000
0.5000 0.5000 0.5000
```

Computed properties:
Density of states at the Fermi level   4.1 states/eV/cell
Magnetization   2.3 μB/f.u.

Run B
Here is an optimized crystal structure of CrGaIO2 from Alexandria. Energies are from PBE+U.

Structure (POSCAR):
```
CrGaIO2
1.0
3.8654 0.0000 0.0000
0.0000 3.8654 0.0000
0.0000 0.0000 6.2466
I Cr O Ga
1 1 2 1
Direct
0.0000 0.0000 0.5000
0.5000 0.5000 0.5000
0.0000 0.5000 0.0000
0.5000 0.0000 0.0000
0.0000 0.0000 0.0000
```

Computed properties:
Density of states at the Fermi level   2.1 states/eV/cell
Magnetization   4.7 μB/f.u.

Decreasing stability: run A, run B